MnAsSe2Br | Alexandria via LeMat-Bulk | meta-GGA SCAN | PBEsol geometry; calculated volume = 102.2 Å³/cell; total energy = -96.86 eV for the cell shown; E_form (uncorrected) = 0.241 eV/atom
1.0
4.583 0.000 0.000
0.000 4.583 0.000
0.000 0.000 4.866
Mn As Se Br
1 1 2 1
direct
0.000 0.000 0.000
0.000 0.000 0.500
0.000 0.500 0.000
0.500 0.000 0.000
0.500 0.500 0.500